# 1
{
  "formula": "PuThInAg",
  "functional": "PBE",
  "state": "optimized geometry",
  "total_magnetization_mub_per_cell": 6.5,
  "ef_ev_per_atom": -0.038,
  "e_tot_ev_per_cell": -27.492,
  "n_ef_per_ev_cell": 11.2,
  "crystal_system": "cubic",
  "lattice_angstrom": [[0.0000, 3.7837, 3.7837], [3.7837, 0.0000, 3.7837], [3.7837, 3.7837, 0.0000]],
  "species": ["Pu", "Th", "In", "Ag"],
  "frac_coords": [[0.0000, 0.0000, 0.0000], [0.5000, 0.5000, 0.5000], [0.2500, 0.2500, 0.2500], [0.7500, 0.7500, 0.7500]]
}


# 2
{
  "formula": "PuTlInAg",
  "functional": "PBE",
  "state": "optimized geometry",
  "total_magnetization_mub_per_cell": 5.6,
  "ef_ev_per_atom": -0.016,
  "e_tot_ev_per_cell": -22.351,
  "n_ef_per_ev_cell": 13.3,
  "crystal_system": "cubic",
  "lattice_angstrom": [[0.0000, 3.6619, 3.6619], [3.6619, 0.0000, 3.6619], [3.6619, 3.6619, 0.0000]],
  "species": ["Pu", "Tl", "In", "Ag"],
  "frac_coords": [[0.0000, 0.0000, 0.0000], [0.7500, 0.7500, 0.7500], [0.5000, 0.5000, 0.5000], [0.2500, 0.2500, 0.2500]]
}


Please write out number 1 again, unchanged.
{
  "formula": "PuThInAg",
  "functional": "PBE",
  "state": "optimized geometry",
  "total_magnetization_mub_per_cell": 6.5,
  "ef_ev_per_atom": -0.038,
  "e_tot_ev_per_cell": -27.492,
  "n_ef_per_ev_cell": 11.2,
  "crystal_system": "cubic",
  "lattice_angstrom": [[0.0000, 3.7837, 3.7837], [3.7837, 0.0000, 3.7837], [3.7837, 3.7837, 0.0000]],
  "species": ["Pu", "Th", "In", "Ag"],
  "frac_coords": [[0.0000, 0.0000, 0.0000], [0.5000, 0.5000, 0.5000], [0.2500, 0.2500, 0.2500], [0.7500, 0.7500, 0.7500]]
}